No. 1
Computed, not measured: a relaxed RuW3S crystal at the GGA-PBEsol level of DFT.

Cell: 4.3239 4.3239 4.3239 Å, 90.00 90.00 90.00°
Fractional positions:
1 Ru 0.5000 0.5000 0.5000
2 S 0.0000 0.0000 0.0000
3 W 0.0000 0.5000 0.0000
4 W 0.0000 0.0000 0.5000
5 W 0.5000 0.0000 0.0000

Output
* formation energy (no corrections): 1.0212 eV/atom
* D(E_F): 4.71 states/eV/f.u.
* total moment: 0.0 Bohr magnetons per cell
* density: 14.063 g/cm³

=====

No. 2
Computed, not measured: a relaxed SrPt2S crystal at the GGA-PBEsol level of DFT.

Cell: 5.1876 5.1876 8.2179 Å, 108.40 108.40 90.00°
Fractional positions:
1 Sr 0.0000 0.0000 0.0000
2 Sr 0.2500 0.7500 0.5000
3 S 0.5000 0.5000 0.0000
4 S 0.7500 0.2500 0.5000
5 Pt 0.6250 0.3750 0.7500
6 Pt 0.1250 0.3750 0.7500
7 Pt 0.6250 0.8750 0.2500
8 Pt 0.6250 0.3750 0.2500

Output
* formation energy (no corrections): -0.7046 eV/atom
* D(E_F): 1.65 states/eV/f.u.
* total moment: 0.0 Bohr magnetons per cell
* density: 8.556 g/cm³

=====

No. 3
Computed, not measured: a relaxed NaTl3Re crystal at the GGA-PBEsol level of DFT.

Cell: 5.2114 5.2114 5.2114 Å, 90.00 90.00 90.00°
Fractional positions:
1 Re 0.5000 0.5000 0.5000
2 Tl 0.0000 0.5000 0.0000
3 Tl 0.0000 0.0000 0.5000
4 Tl 0.5000 0.0000 0.0000
5 Na 0.0000 0.0000 0.0000

Output
* energy of formation: 8.38 eV/f.u.
* D(E_F): 3.58 states/eV/f.u.
* total moment: 3.6 Bohr magnetons per cell
* density: 9.648 g/cm³

=====

No. 4
Computed, not measured: a relaxed NaAgSe crystal at the GGA-PBEsol level of DFT.

Cell: 4.2506 7.2561 8.0243 Å, 90.00 90.00 90.00°
Fractional positions:
1 Na 0.7500 0.4683 0.8248
2 Na 0.2500 0.0317 0.3248
3 Na 0.2500 0.5317 0.1752
4 Na 0.7500 0.9683 0.6752
5 Se 0.7500 0.7432 0.3727
6 Se 0.2500 0.7568 0.8727
7 Se 0.2500 0.2568 0.6273
8 Se 0.7500 0.2432 0.1273
9 Ag 0.7500 0.3706 0.4437
10 Ag 0.2500 0.1294 0.9437
11 Ag 0.2500 0.6294 0.5563
12 Ag 0.7500 0.8706 0.0563

Output
* formation energy (no corrections): -0.6078 eV/atom
* D(E_F): 0.11 states/eV/f.u.
* total moment: 0.0 Bohr magnetons per cell
* density: 5.631 g/cm³

=====

No. 5
Computed, not measured: a relaxed Y2Ga9Co3 crystal at the GGA-PBEsol level of DFT.

Cell: 7.2450 7.2450 9.2802 Å, 90.00 90.00 119.72°
Fractional positions:
1 Y 0.9971 0.6685 0.2500
2 Y 0.0029 0.3315 0.7500
3 Y 0.6685 0.9971 0.2500
4 Y 0.3315 0.0029 0.7500
5 Ga 0.6657 0.9995 0.9284
6 Ga 0.9995 0.6657 0.5716
7 Ga 0.6657 0.9995 0.5716
8 Ga 0.3343 0.0005 0.0716
9 Ga 0.9995 0.6657 0.9284
10 Ga 0.0005 0.3343 0.0716
11 Ga 0.6662 0.6662 0.4425
12 Ga 0.3338 0.3338 0.9425
13 Ga 0.6662 0.6662 0.0575
14 Ga 0.3338 0.3338 0.5575
15 Ga 0.1216 0.1216 0.2500
16 Ga 0.8784 0.8784 0.7500
17 Ga 0.4500 0.6634 0.7500
18 Ga 0.5500 0.3366 0.2500
19 Ga 0.6634 0.4500 0.7500
20 Ga 0.3366 0.5500 0.2500
21 Ga 0.0005 0.3343 0.4284
22 Ga 0.3343 0.0005 0.4284
23 Co 0.3291 0.6709 0.0000
24 Co 0.6709 0.3291 0.5000
25 Co 0.6709 0.3291 0.0000
26 Co 0.3291 0.6709 0.5000
27 Co 0.0000 0.0000 0.0000
28 Co 0.0000 0.0000 0.5000

Output
* energy of formation: -7.82 eV/f.u.
* D(E_F): 5.82 states/eV/f.u.
* total moment: 0.0 Bohr magnetons per cell
* density: 7.710 g/cm³

=====

No. 6
Computed, not measured: a relaxed CrCoN3 crystal at the GGA-PBEsol level of DFT.

Cell: 3.6421 3.6421 3.6421 Å, 90.00 90.00 90.00°
Fractional positions:
1 Cr 0.0000 0.0000 0.0000
2 Co 0.5000 0.5000 0.5000
3 N 0.0000 0.5000 0.0000
4 N 0.0000 0.0000 0.5000
5 N 0.5000 0.0000 0.0000

Output
* formation energy (no corrections): 0.9466 eV/atom
* D(E_F): 5.09 states/eV/f.u.
* total moment: 2.4 Bohr magnetons per cell
* density: 5.257 g/cm³

=====

No. 7
Computed, not measured: a relaxed SrZnOs2 crystal at the GGA-PBEsol level of DFT.

Cell: 2.8134 2.8134 9.7006 Å, 81.66 81.66 60.00°
Fractional positions:
1 Os 0.2612 0.2612 0.2165
2 Os 0.7388 0.7388 0.7835
3 Sr 0.5000 0.5000 0.5000
4 Zn 0.0000 0.0000 0.0000

Output
* energy of formation: 3.46 eV/f.u.
* D(E_F): 3.98 states/eV/f.u.
* total moment: 0.0 Bohr magnetons per cell
* density: 13.513 g/cm³

=====

No. 8
Computed, not measured: a relaxed SbAsIr2 crystal at the GGA-PBEsol level of DFT.

Cell: 2.9169 4.5718 5.0065 Å, 90.00 90.00 90.00°
Fractional positions:
1 Sb 0.5000 0.5000 0.0000
2 As 0.0000 0.5000 0.5000
3 Ir 0.0000 0.0000 0.0000
4 Ir 0.5000 0.0000 0.5000

Output
* formation energy (no corrections): 0.4836 eV/atom
* D(E_F): 2.64 states/eV/f.u.
* total moment: 0.0 Bohr magnetons per cell
* density: 14.453 g/cm³

=====

No. 9
Computed, not measured: a relaxed KCr2Fe crystal at the GGA-PBEsol level of DFT.

Cell: 2.6012 2.6012 9.4240 Å, 90.00 90.00 111.94°
Fractional positions:
1 Cr 0.0000 0.0000 0.9365
2 Cr 0.5000 0.5000 0.7529
3 Fe 0.0000 0.0000 0.5558
4 K 0.5000 0.5000 0.2548

Output
* energy of formation: 3.63 eV/f.u.
* D(E_F): 4.27 states/eV/f.u.
* total moment: 1.9 Bohr magnetons per cell
* density: 5.585 g/cm³

=====

No. 10
Computed, not measured: a relaxed AcMg5 crystal at the GGA-PBEsol level of DFT.

Cell: 4.9725 6.0940 6.0940 Å, 120.00 90.00 90.00°
Fractional positions:
1 Ac 0.5000 0.0000 0.0000
2 Mg 0.0000 0.5000 0.0000
3 Mg 0.5000 0.6667 0.3333
4 Mg 0.0000 0.5000 0.5000
5 Mg 0.5000 0.3333 0.6667
6 Mg 0.0000 0.0000 0.5000

Output
* energy of formation: -0.40 eV/f.u.
* D(E_F): 3.10 states/eV/f.u.
* total moment: 0.0 Bohr magnetons per cell
* density: 3.619 g/cm³

=====

No. 11
Computed, not measured: a relaxed Ca2CdPPd crystal at the GGA-PBEsol level of DFT.

Cell: 4.5685 5.6902 5.6902 Å, 90.00 90.00 90.00°
Fractional positions:
1 P 0.5000 0.0000 0.0000
2 Ca 0.0000 0.0000 0.5000
3 Ca 0.0000 0.5000 0.0000
4 Pd 0.5000 0.5000 0.5000
5 Cd 0.0000 0.0000 0.0000

Output
* energy of formation: 1.95 eV/f.u.
* D(E_F): 2.41 states/eV/f.u.
* total moment: 0.0 Bohr magnetons per cell
* density: 3.704 g/cm³

=====

No. 12
Computed, not measured: a relaxed MgTl2Cl crystal at the GGA-PBEsol level of DFT.

Cell: 3.3687 5.4956 5.4956 Å, 97.17 92.43 92.43°
Fractional positions:
1 Cl 0.5000 0.5000 0.5000
2 Mg 0.5000 0.0000 0.0000
3 Tl 0.0000 0.0000 0.5000
4 Tl 0.0000 0.5000 0.0000

Output
* formation energy (no corrections): -0.3399 eV/atom
* D(E_F): 1.64 states/eV/f.u.
* total moment: 0.0 Bohr magnetons per cell
* density: 7.723 g/cm³

=====

No. 13
Computed, not measured: a relaxed BaCeO3 crystal at the GGA-PBEsol level of DFT.

Cell: 4.4186 4.4186 4.4186 Å, 90.00 90.00 90.00°
Fractional positions:
1 O 0.0000 0.5000 0.0000
2 O 0.0000 0.0000 0.5000
3 O 0.5000 0.0000 0.0000
4 Ba 0.5000 0.5000 0.5000
5 Ce 0.0000 0.0000 0.0000

Output
* formation energy (no corrections): -3.1230 eV/atom
* D(E_F): 0.00 states/eV/f.u.
* total moment: 0.0 Bohr magnetons per cell
* density: 6.264 g/cm³

=====

No. 14
Computed, not measured: a relaxed AlPbC2 crystal at the GGA-PBEsol level of DFT.

Cell: 4.2283 4.2283 4.2283 Å, 60.00 60.00 60.00°
Fractional positions:
1 Pb 0.5000 0.5000 0.5000
2 C 0.2500 0.2500 0.2500
3 C 0.7500 0.7500 0.7500
4 Al 0.0000 0.0000 0.0000

Output
* energy of formation: 8.31 eV/f.u.
* D(E_F): 2.52 states/eV/f.u.
* total moment: 0.0 Bohr magnetons per cell
* density: 8.021 g/cm³

=====

No. 15
Computed, not measured: a relaxed K2S2O7 crystal at the GGA-PBEsol level of DFT.

Cell: 7.2034 7.2034 7.2738 Å, 88.16 88.16 60.92°
Fractional positions:
1 K 0.7993 0.4939 0.1476
2 K 0.4939 0.7993 0.6476
3 K 0.5061 0.2007 0.3524
4 K 0.2007 0.5061 0.8524
5 S 0.9176 0.2858 0.6418
6 S 0.7142 0.0824 0.8582
7 S 0.0824 0.7142 0.3582
8 S 0.2858 0.9176 0.1418
9 O 0.8039 0.8623 0.9174
10 O 0.1377 0.1961 0.5826
11 O 0.1480 0.5496 0.2207
12 O 0.4504 0.8520 0.2793
13 O 0.1961 0.1377 0.0826
14 O 0.3468 0.7648 0.9948
15 O 0.0781 0.9219 0.2500
16 O 0.2352 0.6532 0.5052
17 O 0.6532 0.2352 0.0052
18 O 0.5496 0.1480 0.7207
19 O 0.8520 0.4504 0.7793
20 O 0.9219 0.0781 0.7500
21 O 0.7648 0.3468 0.4948
22 O 0.8623 0.8039 0.4174

Output
* formation energy (no corrections): -1.7135 eV/atom
* D(E_F): 0.00 states/eV/f.u.
* total moment: 0.0 Bohr magnetons per cell
* density: 2.562 g/cm³

=====

No. 16
Computed, not measured: a relaxed TcPOs2 crystal at the GGA-PBEsol level of DFT.

Cell: 4.2617 4.2617 4.2617 Å, 60.00 60.00 60.00°
Fractional positions:
1 Os 0.0000 0.0000 0.0000
2 Os 0.2500 0.2500 0.2500
3 P 0.5000 0.5000 0.5000
4 Tc 0.7500 0.7500 0.7500

Output
* energy of formation: 1.55 eV/f.u.
* D(E_F): 3.06 states/eV/f.u.
* total moment: 0.0 Bohr magnetons per cell
* density: 15.456 g/cm³

=====

No. 17
Computed, not measured: a relaxed CoNi crystal at the GGA-PBEsol level of DFT.

Cell: 2.4538 2.4538 3.9783 Å, 90.00 90.00 120.00°
Fractional positions:
1 Ni 0.6667 0.3333 0.5000
2 Co 0.0000 0.0000 0.0000

Output
* energy of formation: 0.00 eV/f.u.
* D(E_F): 1.88 states/eV/f.u.
* total moment: 2.3 Bohr magnetons per cell
* density: 9.416 g/cm³

=====

No. 18
Computed, not measured: a relaxed Ta2FePt crystal at the GGA-PBEsol level of DFT.

Cell: 3.8243 3.8243 4.9157 Å, 112.89 112.89 90.00°
Fractional positions:
1 Fe 0.5000 0.5000 0.0000
2 Pt 0.2500 0.7500 0.5000
3 Ta 0.0000 0.0000 0.0000
4 Ta 0.7500 0.2500 0.5000

Output
* energy of formation: -0.97 eV/f.u.
* D(E_F): 2.64 states/eV/f.u.
* total moment: 0.0 Bohr magnetons per cell
* density: 16.950 g/cm³

=====

No. 19
Computed, not measured: a relaxed CdCu2Pt crystal at the GGA-PBEsol level of DFT.

Cell: 2.8752 4.4454 4.9562 Å, 111.13 106.86 90.00°
Fractional positions:
1 Cd 0.2599 0.7917 0.5199
2 Cu 0.0154 0.9763 0.0307
3 Cu 0.7374 0.2797 0.4748
4 Pt 0.4873 0.4524 0.9745

Output
* energy of formation: -0.37 eV/f.u.
* D(E_F): 1.15 states/eV/f.u.
* total moment: 0.0 Bohr magnetons per cell
* density: 12.850 g/cm³

=====

No. 20
Computed, not measured: a relaxed LaOs2Rh crystal at the GGA-PBEsol level of DFT.

Cell: 2.9128 4.6605 5.0139 Å, 90.00 90.00 90.00°
Fractional positions:
1 La 0.0000 0.5000 0.5000
2 Os 0.0000 0.0000 0.0000
3 Os 0.5000 0.5000 0.0000
4 Rh 0.5000 0.0000 0.5000

Output
* energy of formation: 1.76 eV/f.u.
* D(E_F): 4.71 states/eV/f.u.
* total moment: 0.0 Bohr magnetons per cell
* density: 15.181 g/cm³

=====

No. 21
Computed, not measured: a relaxed Sr2LiTl crystal at the GGA-PBEsol level of DFT.

Cell: 4.0551 4.0551 10.9010 Å, 79.28 79.28 60.00°
Fractional positions:
1 Li 0.0000 0.0000 0.0000
2 Sr 0.2431 0.2431 0.2706
3 Sr 0.7569 0.7569 0.7294
4 Tl 0.5000 0.5000 0.5000

Output
* energy of formation: -0.32 eV/f.u.
* D(E_F): 2.46 states/eV/f.u.
* total moment: 0.0 Bohr magnetons per cell
* density: 4.234 g/cm³

=====

No. 22
Computed, not measured: a relaxed KScIn2 crystal at the GGA-PBEsol level of DFT.

Cell: 3.5871 3.5871 8.4177 Å, 90.00 90.00 90.00°
Fractional positions:
1 Sc 0.5000 0.5000 0.5000
2 K 0.5000 0.5000 0.0000
3 In 0.0000 0.0000 0.6956
4 In 0.0000 0.0000 0.3044

Output
* energy of formation: -0.91 eV/f.u.
* D(E_F): 2.06 states/eV/f.u.
* total moment: 0.0 Bohr magnetons per cell
* density: 4.809 g/cm³

=====

No. 23
Computed, not measured: a relaxed LiFeSi3O8 crystal at the GGA-PBEsol level of DFT.

Cell: 7.3496 7.1203 8.3695 Å, 122.23 118.24 84.90°
Fractional positions:
1 Li 0.3016 0.0777 0.2469
2 Li 0.6984 0.9223 0.7531
3 Fe 0.1510 0.0398 0.8477
4 Fe 0.8490 0.9602 0.1523
5 Si 0.1857 0.5619 0.8205
6 Si 0.7851 0.1664 0.5493
7 Si 0.5716 0.4867 0.7704
8 Si 0.4284 0.5133 0.2296
9 Si 0.2149 0.8336 0.4507
10 Si 0.8143 0.4381 0.1795
11 O 0.1498 0.8177 0.8992
12 O 0.5725 0.2657 0.5535
13 O 0.3107 0.5558 0.0363
14 O 0.8701 0.0603 0.6964
15 O 0.6987 0.7230 0.8518
16 O 0.9626 0.3778 0.6488
17 O 0.3247 0.4895 0.6994
18 O 0.7090 0.9822 0.2931
19 O 0.2910 0.0178 0.7069
20 O 0.6753 0.5105 0.3006
21 O 0.0374 0.6222 0.3512
22 O 0.3013 0.2770 0.1482
23 O 0.1299 0.9397 0.3036
24 O 0.6893 0.4442 0.9637
25 O 0.4275 0.7343 0.4465
26 O 0.8502 0.1823 0.1008

Output
* formation energy (no corrections): -2.4013 eV/atom
* total moment: 10.0 Bohr magnetons per cell
* density: 2.868 g/cm³

=====

No. 24
Computed, not measured: a relaxed InCoIN2 crystal at the GGA-PBEsol level of DFT.

Cell: 3.9597 3.9597 5.1758 Å, 90.00 90.00 90.00°
Fractional positions:
1 I 0.0000 0.0000 0.5000
2 N 0.0000 0.5000 0.0000
3 N 0.5000 0.0000 0.0000
4 Co 0.0000 0.0000 0.0000
5 In 0.5000 0.5000 0.5000

Output
* formation energy (no corrections): 1.1813 eV/atom
* D(E_F): 2.79 states/eV/f.u.
* total moment: 3.6 Bohr magnetons per cell
* density: 6.725 g/cm³

=====

No. 25
Computed, not measured: a relaxed BeNb3Pt crystal at the GGA-PBEsol level of DFT.

Cell: 4.3271 4.3271 4.3271 Å, 90.00 90.00 90.00°
Fractional positions:
1 Be 0.0000 0.0000 0.0000
2 Nb 0.0000 0.5000 0.0000
3 Nb 0.0000 0.0000 0.5000
4 Nb 0.5000 0.0000 0.0000
5 Pt 0.5000 0.5000 0.5000

Output
* energy of formation: 1.89 eV/f.u.
* D(E_F): 6.13 states/eV/f.u.
* total moment: 0.0 Bohr magnetons per cell
* density: 9.896 g/cm³